Density functional theory data (PBE-GGA) for RbY2Os after structural relaxation.

Output
volume	825	Å³ per cell
magnetic moment	0.0	μB per cell
formation enthalpy at 0 K	0.624	eV/atom
ΔE to the lowest computed polymorph	0.000	eV per atom

abc: 8.3444 8.3444 11.8550
angles: 90.00 90.00 90.00
With the nearest neighbours (Å) after each atom.
Space group I4_1/amd (No. 141, origin choice 2)
Inequivalent atoms, fractional coordinates:
1 Rb 0.0000 0.2500 0.3750 [4 per cell]  12 Y 4.89-4.91, 4 Os 5.12, 4 Rb 5.12
2 Y 0.0000 0.0000 0.0000 [8 per cell]  2 Os 2.56
3 Os 0.0000 0.2500 0.8750 [4 per cell]  4 Y 2.56

***

Density functional theory data (PBE-GGA) for Rb2YOs after structural relaxation.

Output
volume	489	Å³ per cell
magnetic moment	0.0	μB per cell
formation enthalpy at 0 K	1.777	eV/atom
ΔE to the lowest computed polymorph	0.558	eV per atom

abc: 7.8794 7.8794 7.8794
angles: 90.00 90.00 90.00
With the nearest neighbours (Å) after each atom.
Space group Fm-3m (No. 225)
Inequivalent atoms, fractional coordinates:
1 Rb 0.2500 0.2500 0.2500 [8 per cell]  4 Os 3.41, 4 Y 3.41
2 Y 0.0000 0.0000 0.0000 [4 per cell]  8 Rb 3.41
3 Os 0.0000 0.0000 0.5000 [4 per cell]  8 Rb 3.41